ZrIn2Sn, optimized geometry, DFT GGA-PBE; formation energy from the elements = 0.254 eV/atom; total DFT energy (no corrections) = -4.253 eV per atom; DOS at the Fermi energy = 3.63 states/eV/f.u.
1.0
-0.5477 2.9582 1.1529
-0.4222 0.4435 3.1631
11.4174 2.7871 2.7741
Zr In Sn
1 2 1
Direct
0.0000 0.0000 0.0000
0.0840 0.0840 0.7479
0.9160 0.9160 0.2521
0.5000 0.5000 0.5000

***

SrMg8, optimized geometry, DFT GGA-PBE; formation energy from the elements = 0.010 eV/atom; total DFT energy (no corrections) = -1.595 eV per atom; DOS at the Fermi energy = 4.55 states/eV/f.u.
1.0
-7.0611 -1.3373 2.0092
6.0197 -3.0212 -3.2125
2.7548 -0.1029 6.9343
Mg Sr
8 1
Direct
0.6784 0.6784 0.3568
0.3425 0.0000 0.3425
0.6784 0.3216 0.0000
0.0000 0.3425 0.3425
0.3216 0.6784 0.0000
0.3216 0.3216 0.6432
0.0000 0.6575 0.6575
0.6575 0.0000 0.6575
0.0000 0.0000 0.0000